Density functional theory data (GGA-PBE) for a relaxed structure of CeEr6Tm12.

Structure (POSCAR):
```
CeEr6Tm12
1.0
8.317 0.719 0.861
-0.551 8.330 0.861
-0.551 -0.641 8.350
Er Tm Ce
6 12 1
Cartesian
1.698 0.497 6.044 Er
5.533 2.566 1.569 Er
5.518 7.910 4.028 Er
6.982 2.774 7.266 Er
1.683 5.841 8.503 Er
0.234 5.633 2.805 Er
3.859 3.539 7.304 Tm
5.893 4.808 4.787 Tm
7.455 6.879 6.942 Tm
2.913 6.409 5.586 Tm
3.357 4.868 2.767 Tm
5.670 5.328 9.517 Tm
4.303 1.998 4.485 Tm
2.810 0.189 2.063 Tm
4.406 8.218 8.009 Tm
1.546 3.080 0.555 Tm
-0.239 1.528 3.129 Tm
1.323 3.599 5.284 Tm
0.000 0.000 0.000 Ce
```

Summary:
As for the offset from the most stable computed form: 0.0 meV per atom. As for the formation energy: 3.087 eV per formula unit. The space group is R-3 (148).